Entry 1:
{"formula": "Sc3InSn", "functional": "GGA-PBE", "state": "relaxed", "m_tot_mub_per_fu": 0.00, "spacegroup": "No. 15", "e_form_mev_per_atom": -320, "relative_energy_ev_per_atom": 0.0000, "lattice_angstrom": [[6.292, -4.662, 0.000], [6.292, 4.662, 0.000], [-5.988, 0.000, 8.059]], "species": ["Sc", "Sc", "Sc", "Sc", "Sc", "Sc", "Sc", "Sc", "Sc", "Sc", "Sc", "Sc", "In", "In", "In", "In", "Sn", "Sn", "Sn", "Sn"], "fractional_positions": [[0.042, 0.374, 0.587], [0.074, 0.758, 0.963], [0.242, 0.926, 0.537], [0.289, 0.331, 0.919], [0.331, 0.289, 0.419], [0.374, 0.042, 0.087], [0.626, 0.958, 0.913], [0.669, 0.711, 0.581], [0.711, 0.669, 0.081], [0.758, 0.074, 0.463], [0.926, 0.242, 0.037], [0.958, 0.626, 0.413], [0.029, 0.971, 0.750], [0.348, 0.652, 0.750], [0.652, 0.348, 0.250], [0.971, 0.029, 0.250], [0.194, 0.542, 0.223], [0.458, 0.806, 0.277], [0.542, 0.194, 0.723], [0.806, 0.458, 0.777]]}


Entry 2:
{"formula": "Sc2In2Sn", "functional": "GGA-PBE", "state": "relaxed", "m_tot_mub_per_fu": 0.00, "spacegroup": "No. 127", "e_form_mev_per_atom": -273, "relative_energy_ev_per_atom": 0.0897, "lattice_angstrom": [[7.494, 0.000, 0.000], [0.000, 7.494, 0.000], [0.000, 0.000, 4.470]], "species": ["Sc", "Sc", "Sc", "Sc", "In", "In", "In", "In", "Sn", "Sn"], "fractional_positions": [[0.153, 0.347, 0.000], [0.347, 0.847, 0.000], [0.653, 0.153, 0.000], [0.847, 0.653, 0.000], [0.149, 0.649, 0.500], [0.351, 0.149, 0.500], [0.649, 0.851, 0.500], [0.851, 0.351, 0.500], [0.000, 0.000, 0.000], [0.500, 0.500, 0.000]]}


Entry 3:
{"formula": "Sc2In2Sn", "functional": "GGA-PBE", "state": "relaxed", "m_tot_mub_per_fu": 0.00, "spacegroup": "No. 12", "e_form_mev_per_atom": -363, "relative_energy_ev_per_atom": 0.0000, "lattice_angstrom": [[4.143, -2.437, 0.000], [4.143, 2.437, 0.000], [-2.707, 0.000, 5.867]], "species": ["Sc", "Sc", "In", "In", "Sn"], "fractional_positions": [[0.101, 0.101, 0.304], [0.899, 0.899, 0.696], [0.307, 0.307, 0.925], [0.693, 0.693, 0.075], [0.500, 0.500, 0.500]]}


Entry 4:
{"formula": "ScInSn3", "functional": "GGA-PBE", "state": "relaxed", "m_tot_mub_per_fu": 0.00, "spacegroup": "No. 221", "e_form_mev_per_atom": 229, "relative_energy_ev_per_atom": 0.0000, "lattice_angstrom": [[5.524, 0.000, 0.000], [0.000, 5.524, 0.000], [0.000, 0.000, 5.524]], "species": ["Sc", "In", "Sn", "Sn", "Sn"], "fractional_positions": [[0.000, 0.000, 0.000], [0.500, 0.500, 0.500], [0.000, 0.000, 0.500], [0.000, 0.500, 0.000], [0.500, 0.000, 0.000]]}